Entry from Alexandria via LeMat-Bulk: a geometry-optimized YTh4Rh4 structure (PBE-GGA).

Unit cell a=7.0602 b=7.0602 c=7.0602 alpha=99.44 beta=99.44 gamma=132.23
With the nearest neighbours (Å) after each atom.
Fractional positions:
Y: 0.0000 0.0000 0.0000  4 Rh 2.88
Th: 0.1948 0.5988 0.7936  5 Rh 2.86-2.90
Th: 0.4012 0.1948 0.5959  5 Rh 2.86-2.90
Th: 0.5988 0.8052 0.4041  5 Rh 2.86-2.90
Th: 0.8052 0.4012 0.2064  5 Rh 2.86-2.90
Rh: 0.1052 0.2978 0.4030  5 Th 2.86-2.90, 1 Y 2.88
Rh: 0.2978 0.8948 0.1925  5 Th 2.86-2.90, 1 Y 2.88
Rh: 0.7022 0.1052 0.8075  5 Th 2.86-2.90, 1 Y 2.88
Rh: 0.8948 0.7022 0.5970  5 Th 2.86-2.90, 1 Y 2.88

Calculated values
- ΔE_f: -779.4 meV per atom
- DFT total energy: -8.06 eV/atom
- V: 238.3 Å³/cell



Entry from Alexandria via LeMat-Bulk: a geometry-optimized Y3Th2Rh2 structure (PBE-GGA).

Unit cell a=12.1379 b=3.7417 c=9.1429 alpha=90.00 beta=114.11 gamma=90.00
With the nearest neighbours (Å) after each atom.
Fractional positions:
Y: 0.0000 0.0000 0.0000  4 Rh 3.02
Y: 0.1147 0.0000 0.4282  3 Rh 2.87-3.05
Y: 0.3853 0.5000 0.5718  3 Rh 2.87-3.05
Y: 0.5000 0.5000 0.0000  4 Rh 3.02
Y: 0.6147 0.5000 0.4282  3 Rh 2.87-3.05
Y: 0.8853 0.0000 0.5718  3 Rh 2.87-3.05
Th: 0.1718 0.5000 0.8192  2 Rh 2.79
Th: 0.3282 0.0000 0.1808  2 Rh 2.79
Th: 0.6718 0.0000 0.8192  2 Rh 2.79
Th: 0.8282 0.5000 0.1808  2 Rh 2.79
Rh: 0.1800 0.5000 0.2384  2 Th 2.79, 5 Y 2.87-3.05
Rh: 0.3200 0.0000 0.7616  2 Th 2.79, 5 Y 2.87-3.05
Rh: 0.6800 0.0000 0.2384  2 Th 2.79, 5 Y 2.87-3.05
Rh: 0.8200 0.5000 0.7616  2 Th 2.79, 5 Y 2.87-3.05

Calculated values
- ΔE_f: -549.4 meV per atom
- DFT total energy: -7.54 eV/atom
- V: 379.0 Å³/cell



Entry from Alexandria via LeMat-Bulk: a geometry-optimized Y2ThRh structure (PBE-GGA).

Unit cell a=7.1353 b=9.7635 c=6.4447 alpha=90.00 beta=90.00 gamma=90.00
With the nearest neighbours (Å) after each atom.
Fractional positions:
Y: 0.1767 0.0655 0.1676  2 Rh 2.93-2.94
Y: 0.1767 0.4345 0.1676  2 Rh 2.93-2.94
Y: 0.3233 0.5655 0.6676  2 Rh 2.93-2.94
Y: 0.3233 0.9345 0.6676  2 Rh 2.93-2.94
Y: 0.6767 0.0655 0.3324  2 Rh 2.93-2.94
Y: 0.6767 0.4345 0.3324  2 Rh 2.93-2.94
Y: 0.8233 0.5655 0.8324  2 Rh 2.93-2.94
Y: 0.8233 0.9345 0.8324  2 Rh 2.93-2.94
Th: 0.0401 0.2500 0.6568  2 Rh 2.70-2.78
Th: 0.4599 0.7500 0.1568  2 Rh 2.70-2.78
Th: 0.5401 0.2500 0.8432  2 Rh 2.70-2.78
Th: 0.9599 0.7500 0.3432  2 Rh 2.70-2.78
Rh: 0.1292 0.7500 0.9541  2 Th 2.70-2.78, 4 Y 2.93-2.94
Rh: 0.3708 0.2500 0.4541  2 Th 2.70-2.78, 4 Y 2.93-2.94
Rh: 0.6292 0.7500 0.5459  2 Th 2.70-2.78, 4 Y 2.93-2.94
Rh: 0.8708 0.2500 0.0459  2 Th 2.70-2.78, 4 Y 2.93-2.94

Calculated values
- ΔE_f: -501.6 meV per atom
- DFT total energy: -7.43 eV/atom
- V: 449.0 Å³/cell
- Energy above the most stable polymorph in this dataset: 0.0 meV/atom



Entry from Alexandria via LeMat-Bulk: a geometry-optimized Y2ThRh structure (PBE-GGA).

Unit cell a=3.4990 b=3.4990 c=8.5968 alpha=90.00 beta=90.00 gamma=90.00
With the nearest neighbours (Å) after each atom.
Fractional positions:
Y: 0.0000 0.0000 0.1938  4 Rh 2.98, 1 Y 3.33
Y: 0.0000 0.0000 0.8062  4 Rh 2.98, 1 Y 3.33
Th: 0.5000 0.5000 0.5000  4 Th 3.50, 8 Y 3.61
Rh: 0.5000 0.5000 0.0000  8 Y 2.98

Calculated values
- ΔE_f: -381.3 meV per atom
- DFT total energy: -7.31 eV/atom
- V: 105.3 Å³/cell
- Energy above the most stable polymorph in this dataset: 120.3 meV/atom